# Cs12K7Pt

A relaxed structure of Cs12K7Pt (PBE, the Alexandria database).

Properties
final energy: -24.13 eV for the cell shown
symmetry: R-3

extended XYZ file:
```
20
Lattice="11.154 6.440 4.175 -11.154 6.440 4.175 0.000 -12.879 4.175" Properties=species:S:1:pos:R:3 pbc="T T T"
Cs -1.657 -2.209 1.914
Cs -1.084 2.539 1.914
Cs -4.749 -2.065 6.358
Cs 2.741 -0.330 1.914
Cs -0.586 -5.145 6.166
Cs -4.163 3.080 6.166
Cs 4.163 -3.080 6.358
Cs 0.586 5.145 6.358
Cs -2.741 0.330 10.611
Cs 4.749 2.065 6.166
Cs 1.085 -2.539 10.611
Cs 1.657 2.209 10.611
K -5.104 -7.211 6.146
K -8.797 0.814 6.378
K 3.693 -8.025 6.378
K 0.000 0.000 6.262
K -3.693 8.025 6.146
K 8.797 -0.814 6.146
K 5.104 7.211 6.378
Pt 0.000 0.000 0.000
```

---

# NdAl2ZnAu2

A relaxed structure of NdAl2ZnAu2 (PBE, the Alexandria database).

Properties
final energy: -23.39 eV for the cell shown
symmetry: P-3m1

extended XYZ file:
```
6
Lattice="4.426 0.000 0.000 -2.213 3.833 0.000 0.000 0.000 7.023" Properties=species:S:1:pos:R:3 pbc="T T T"
Nd 0.000 0.000 0.000
Al 0.000 2.555 4.847
Al 2.213 1.278 2.177
Zn 0.000 0.000 3.512
Au 0.000 2.555 2.029
Au 2.213 1.278 4.995
```

---

# Rb2NbTlAg

A relaxed structure of Rb2NbTlAg (PBE, the Alexandria database).

Properties
final energy: -11.75 eV for the cell shown
symmetry: P4/mmm

extended XYZ file:
```
5
Lattice="6.450 0.000 0.000 0.000 6.450 0.000 0.000 0.000 5.430" Properties=species:S:1:pos:R:3 pbc="T T T"
Rb 0.000 3.225 0.000
Rb 3.225 0.000 0.000
Nb 0.000 0.000 2.715
Tl 3.225 3.225 2.715
Ag 3.225 3.225 0.000
```

---

# Nb2ZnFe2

A relaxed structure of Nb2ZnFe2 (PBE, the Alexandria database).

Properties
final energy: -74.15 eV for the cell shown
symmetry: P4/mbm
energy relative to the lowest polymorph listed for this composition: 0.228 eV/atom

extended XYZ file:
```
10
Lattice="7.284 0.000 0.000 0.000 7.284 0.000 0.000 0.000 2.872" Properties=species:S:1:pos:R:3 pbc="T T T"
Nb 1.110 2.532 0.000
Nb 2.532 6.174 0.000
Nb 4.752 1.110 0.000
Nb 6.174 4.752 0.000
Zn 0.000 0.000 0.000
Zn 3.642 3.642 0.000
Fe 1.041 4.683 1.436
Fe 2.601 1.041 1.436
Fe 4.683 6.243 1.436
Fe 6.243 2.601 1.436
```

---

Which formula does entry 4 have? Nb2ZnFe2

---

Which value of final energy does entry 1 give? -24.13 eV for the cell shown

---

Among the records above, which one has the highest final energy? Rb2NbTlAg